Computed, not measured: a geometry-optimized SiRhI2O structure at the PBEsol level of DFT.

Properties
size of the total moment: 0.00 μB/f.u.
formation energy (no corrections): -0.14 eV/f.u.
volume: 94.4 Å³ per cell

a = 5.2916 Å, b = 5.2916 Å, c = 3.3707 Å
α = 90.00°, β = 90.00°, γ = 90.00°
Fractional positions:
1 Si 0.0000 0.0000 0.0000
2 Rh 0.5000 0.5000 0.5000
3 I 0.0000 0.5000 0.0000
4 I 0.5000 0.0000 0.0000
5 O 0.0000 0.0000 0.5000